Density functional theory data (PBE-GGA) for an optimized crystal structure of Ti2SbPb2.

Output
**Electronic total energy**: -55.14 eV for the cell shown
**Magnetization**: 0.00 μB/f.u.
**Formation energy from raw total energies**: -0.0478 eV/atom
**Volume**: 229.7 Å³/cell

Cell: 7.288 7.288 4.325 Å, 90.00 90.00 90.00°
Element x y z (fractional)
Pb  0.665  0.835  0.500
Pb  0.165  0.665  0.500
Pb  0.835  0.335  0.500
Pb  0.335  0.165  0.500
Ti  0.138  0.362  0.000
Ti  0.638  0.138  0.000
Ti  0.362  0.862  0.000
Ti  0.862  0.638  0.000
Sb  0.000  0.000  0.000
Sb  0.500  0.500  0.000